# 1
Compound: PmMnAl4
Source: the Alexandria database
Functional: PBE
Structure: relaxed

Cell lengths 4.0721, 6.9395, 7.7425 Å; angles 90.00, 90.00, 90.00 degrees
Last column: nearest neighbours and their distance in Å.
Positions (direct):
Pm 0.0000 0.6245 0.7500  1 Mn 2.98, 12 Al 3.10-3.31
Pm 0.0000 0.3755 0.2500  1 Mn 2.98, 12 Al 3.10-3.31
Al 0.0000 0.0000 0.0000  2 Mn 2.36
Al 0.5000 0.0378 0.2500  2 Mn 2.60, 6 Al 2.78-2.82
Al 0.5000 0.9622 0.7500  2 Mn 2.60, 6 Al 2.78-2.82
Al 0.0000 0.0000 0.5000  2 Mn 2.36
Al 0.5000 0.3070 0.5680  2 Mn 2.59, 3 Al 2.78-2.88
Al 0.5000 0.3070 0.9320  2 Mn 2.59, 3 Al 2.78-2.88
Al 0.5000 0.6930 0.4320  2 Mn 2.59, 3 Al 2.78-2.88
Al 0.5000 0.6930 0.0680  2 Mn 2.59, 3 Al 2.78-2.88
Mn 0.0000 0.1954 0.7500  8 Al 2.36-2.60
Mn 0.0000 0.8046 0.2500  8 Al 2.36-2.60

Output
Formation enthalpy at 0 K, meV/atom: -363

---

# 2
Compound: PmMnAl11
Source: the Alexandria database
Functional: PBE
Structure: relaxed

Cell lengths 5.2147, 7.1287, 6.8236 Å; angles 82.40, 67.54, 69.75 degrees
Last column: nearest neighbours and their distance in Å.
Positions (direct):
Al 0.2851 0.2297 0.2153  1 Mn 2.57, 6 Al 2.65-2.84
Al 0.0000 0.5000 0.0000  2 Mn 2.61, 8 Al 2.65-2.72
Al 0.5004 0.2297 0.7847  1 Mn 2.57, 6 Al 2.65-2.84
Al 0.0266 0.6368 0.3428  1 Mn 2.65, 6 Al 2.70-2.93
Al 0.5000 0.0000 0.5000  8 Al 2.61-2.87
Al 0.0000 0.0000 0.5000  8 Al 2.61-2.87
Al 0.4996 0.7703 0.2153  1 Mn 2.57, 6 Al 2.65-2.84
Al 0.9734 0.3632 0.6572  1 Mn 2.65, 6 Al 2.70-2.93
Al 0.3694 0.6368 0.6572  1 Mn 2.65, 6 Al 2.70-2.93
Al 0.6306 0.3632 0.3428  1 Mn 2.65, 6 Al 2.70-2.93
Al 0.7149 0.7703 0.7847  1 Mn 2.57, 6 Al 2.65-2.84
Pm 0.0000 0.0000 0.0000  18 Al 3.25-3.56, 2 Mn 3.62
Mn 0.5000 0.5000 0.0000  10 Al 2.57-2.65

Output
Formation enthalpy at 0 K, meV/atom: -187